{
  "formula": "NaTaVN2",
  "functional": "PBE",
  "state": "optimized geometry",
  "cell": [[4.061, 0.000, 0.000], [0.000, 3.914, 0.000], [0.000, 0.000, 4.061]],
  "species": ["Na", "N", "N", "V", "Ta"],
  "fractional_positions": [[0.000, 0.000, 0.000], [0.000, 0.000, 0.500], [0.500, 0.000, 0.000], [0.000, 0.500, 0.000], [0.500, 0.500, 0.500]],
  "dos_at_fermi_per_ev_cell": 4.82,
  "formation_energy_uncorrected_ev_per_fu": 11.44,
  "final_energy_ev_per_cell": -27.50,
  "space_group": "P4/mmm",
  "volume_a3_per_cell": 64.6
}